# TmNbMo

A geometry-optimized TmNbMo structure (PBE, OQMD via LeMat-Bulk).

Lattice parameters (Å, degrees): 4.555 4.555 4.555 60.00 60.00 60.00
Atoms (fractional coordinates):
Tm1 0.000 0.000 0.000
Nb1 0.750 0.750 0.750
Mo1 0.250 0.250 0.250

Results
total magnetic moment: 0.0 Bohr magnetons per cell
calculated formation energy: 1.560 eV/atom
V: 67 Å³/cell
calculated density: 8.9 g cm⁻³
space-group type: F-43m


# Nb3PbCN

A geometry-optimized Nb3PbCN structure (PBE, OQMD via LeMat-Bulk).

Lattice parameters (Å, degrees): 3.220 3.220 19.643 90.00 90.00 120.00
Atoms (fractional coordinates):
C1 0.667 0.333 0.932
C2 0.333 0.667 0.068
N1 0.667 0.333 0.564
N2 0.333 0.667 0.436
Nb1 0.667 0.333 0.125
Nb2 0.000 0.000 0.000
Nb3 0.000 0.000 0.500
Nb4 0.667 0.333 0.377
Nb5 0.333 0.667 0.875
Nb6 0.333 0.667 0.623
Pb1 0.000 0.000 0.748
Pb2 0.000 0.000 0.252

Results
total magnetic moment: 0.0 Bohr magnetons per cell
V: 176 Å³/cell
calculated density: 9.6 g cm⁻³
total energy: -54.0 eV per formula unit
space-group type: P-3m1


# Sc3Zn3Cu2Ni

A geometry-optimized Sc3Zn3Cu2Ni structure (PBE, OQMD via LeMat-Bulk).

Lattice parameters (Å, degrees): 6.808 6.808 3.599 90.00 90.00 120.00
Atoms (fractional coordinates):
Sc1 0.599 0.599 0.000
Sc2 0.000 0.401 0.000
Sc3 0.401 0.000 0.000
Zn1 0.749 0.000 0.500
Zn2 0.000 0.749 0.500
Zn3 0.251 0.251 0.500
Ni1 0.000 0.000 0.000
Cu1 0.333 0.667 0.500
Cu2 0.667 0.333 0.500

Results
total magnetic moment: 0.0 Bohr magnetons per cell
calculated formation energy: -0.356 eV/atom
V: 144 Å³/cell
calculated density: 5.9 g cm⁻³
space-group type: P-62m


# LaGa2FePt

A geometry-optimized LaGa2FePt structure (PBE, OQMD via LeMat-Bulk).

Lattice parameters (Å, degrees): 4.267 4.267 10.491 90.00 90.00 90.00
Last column: magnetic moment on the atom in μB.
Atoms (fractional coordinates):
La1 0.000 0.500 0.242  -0.05
La2 0.500 0.000 0.758  -0.05
Fe1 0.500 0.500 0.000  2.24
Fe2 0.000 0.000 0.000  2.24
Ga1 0.000 0.000 0.500  0.02
Ga2 0.000 0.500 0.881  -0.10
Ga3 0.500 0.000 0.119  -0.10
Ga4 0.500 0.500 0.500  0.02
Pt1 0.000 0.500 0.636  0.00
Pt2 0.500 0.000 0.364  0.00

Results
total magnetic moment: 4.1 Bohr magnetons per cell
V: 191 Å³/cell
calculated density: 9.2 g cm⁻³
total energy: -28.4 eV per formula unit
space-group type: P4/nmm


# GdScCuS3

A geometry-optimized GdScCuS3 structure (PBE, OQMD via LeMat-Bulk).

Lattice parameters (Å, degrees): 6.489 6.489 9.620 90.00 90.00 146.76
Atoms (fractional coordinates):
S1 0.592 0.408 0.250
S2 0.141 0.859 0.566
S3 0.408 0.592 0.750
S4 0.141 0.859 0.934
S5 0.859 0.141 0.434
S6 0.859 0.141 0.066
Sc1 0.500 0.500 0.500
Sc2 0.500 0.500 0.000
Gd1 0.734 0.266 0.750
Gd2 0.266 0.734 0.250
Cu1 0.021 0.979 0.750
Cu2 0.979 0.021 0.250

Results
total magnetic moment: 0.0 Bohr magnetons per cell
V: 222 Å³/cell
calculated density: 5.4 g cm⁻³
total energy: -36.1 eV per formula unit
space-group type: Cmcm


# KNdAg

A geometry-optimized KNdAg structure (PBE, OQMD via LeMat-Bulk).

Lattice parameters (Å, degrees): 5.157 5.157 5.157 60.00 60.00 60.00
Last column: magnetic moment on the atom in μB.
Atoms (fractional coordinates):
K1 0.250 0.250 0.250  0.04
Nd1 0.000 0.000 0.000  0.36
Ag1 0.500 0.500 0.500  0.03

Results
total magnetic moment: 1.0 Bohr magnetons per cell
V: 97 Å³/cell
calculated density: 5.0 g cm⁻³
total energy: -6.1 eV per formula unit
space-group type: F-43m


# PrSmCd2Au4

A geometry-optimized PrSmCd2Au4 structure (PBE, OQMD via LeMat-Bulk).

Lattice parameters (Å, degrees): 5.031 5.031 7.126 90.00 90.00 90.00
Atoms (fractional coordinates):
Pr1 0.500 0.500 0.500
Sm1 0.000 0.000 0.000
Au1 0.500 0.000 0.755
Au2 0.000 0.500 0.245
Au3 0.500 0.000 0.245
Au4 0.000 0.500 0.755
Cd1 0.000 0.000 0.500
Cd2 0.500 0.500 0.000

Results
total magnetic moment: 0.0 Bohr magnetons per cell
calculated formation energy: -0.653 eV/atom
V: 180 Å³/cell
calculated density: 12.0 g cm⁻³
space-group type: P4/mmm


# Li2HgAu

A geometry-optimized Li2HgAu structure (PBE, OQMD via LeMat-Bulk).

Lattice parameters (Å, degrees): 6.364 4.537 9.071 90.00 90.00 90.00
Atoms (fractional coordinates):
Li1 0.000 0.750 0.125
Li2 0.500 0.750 0.625
Li3 0.500 0.250 0.375
Li4 0.000 0.250 0.875
Li5 0.500 0.750 0.125
Li6 0.000 0.250 0.375
Li7 0.000 0.750 0.625
Li8 0.500 0.250 0.875
Au1 0.250 0.250 0.125
Au2 0.750 0.750 0.875
Au3 0.750 0.750 0.375
Au4 0.250 0.250 0.625
Hg1 0.750 0.250 0.125
Hg2 0.250 0.750 0.875
Hg3 0.750 0.250 0.625
Hg4 0.250 0.750 0.375

Results
V: 262 Å³/cell
calculated density: 10.4 g cm⁻³
total energy: -9.2 eV per formula unit
space-group type: I4/mmm